No. 1
DFT (GGA-PBE) results for KC2 after structural relaxation.

Crystal system = hexagonal
Energy relative to the lowest polymorph listed for this composition = 9.17 eV/f.u.
Raw total energy = -17.7 eV for the cell shown
ρ = 2.03 g/cm³
Energy of formation = 3.561 eV/atom

a = 4.6692 Å, b = 4.6692 Å, c = 5.4724 Å
α = 90.00°, β = 90.00°, γ = 120.00°
Space group P6_3/mmc (No. 194)
One atom of each set of equivalent atoms:
K (0.3333, 0.6667, 0.2500)
C (0.0000, 0.0000, 0.0000)
C (0.3333, 0.6667, 0.7500)

=====

No. 2
DFT (GGA-PBE) results for Ag2Bi2Br after structural relaxation.

Crystal system = tetragonal
Energy relative to the lowest polymorph listed for this composition = 0.10 eV/f.u.
Raw total energy = -29.5 eV for the cell shown
E_form (uncorrected) = 37 kJ/mol of formula units
ρ = 8.79 g/cm³

a = 3.9067 Å, b = 3.9067 Å, c = 17.6589 Å
α = 90.00°, β = 90.00°, γ = 90.00°
Space group I4/mmm (No. 139)
One atom of each set of equivalent atoms:
Ag (0.0000, 0.5000, 0.2500)
Bi (0.0000, 0.0000, 0.1179)
Br (0.0000, 0.0000, 0.5000)

=====

No. 3
DFT (GGA-PBE) results for TlReHg2 after structural relaxation.

Crystal system = cubic
Energy relative to the lowest polymorph listed for this composition = 2.13 eV/f.u.
Raw total energy = -43.5 eV for the cell shown
ρ = 14.97 g/cm³
Energy of formation = 1.134 eV/atom

a = 7.0566 Å, b = 7.0566 Å, c = 7.0566 Å
α = 90.00°, β = 90.00°, γ = 90.00°
Space group F-43m (No. 216)
One atom of each set of equivalent atoms:
Tl (0.0000, 0.0000, 0.0000)
Re (0.2500, 0.2500, 0.7500)
Hg (0.0000, 0.0000, 0.5000)
Hg (0.2500, 0.2500, 0.2500)

=====

No. 4
DFT (GGA-PBE) results for Mn4Al3Ga after structural relaxation.

Crystal system = orthorhombic
Raw total energy = -52.8 eV for the cell shown
ρ = 5.83 g/cm³
Energy of formation = -0.231 eV/atom

a = 3.5016 Å, b = 3.8803 Å, c = 7.7707 Å
α = 90.00°, β = 90.00°, γ = 90.00°
Space group Pmmm (No. 47)
One atom of each set of equivalent atoms:
Mn (0.0000, 0.0000, 0.0000)
Mn (0.0000, 0.0000, 0.5000)
Mn (0.0000, 0.5000, 0.2495)
Al (0.5000, 0.0000, 0.2520)
Al (0.5000, 0.5000, 0.5000)
Ga (0.5000, 0.5000, 0.0000)

=====

No. 5
DFT (GGA-PBE) results for CdPbBr2 after structural relaxation.

Crystal system = orthorhombic
Energy relative to the lowest polymorph listed for this composition = 0.31 eV/f.u.
Raw total energy = -19.6 eV for the cell shown
E_form (uncorrected) = -178 kJ/mol of formula units
ρ = 5.89 g/cm³

a = 3.8177 Å, b = 5.1473 Å, c = 13.7479 Å
α = 90.00°, β = 90.00°, γ = 90.00°
Space group Imm2 (No. 44)
One atom of each set of equivalent atoms:
Cd (0.0000, 0.0000, 0.0000)
Pb (0.0000, 0.5000, 0.7115)
Br (0.0000, 0.0000, 0.3837)
Br (0.0000, 0.5000, 0.1833)

=====

No. 6
DFT (GGA-PBE) results for AlInCo2Ag after structural relaxation.

Crystal system = tetragonal
Raw total energy = -17.1 eV for the cell shown
ρ = 5.36 g/cm³
Energy of formation = 1.283 eV/atom

a = 4.7743 Å, b = 4.7743 Å, c = 4.9980 Å
α = 90.00°, β = 90.00°, γ = 90.00°
Space group P4/mmm (No. 123)
One atom of each set of equivalent atoms:
Al (0.0000, 0.0000, 0.0000)
In (0.5000, 0.5000, 0.0000)
Co (0.0000, 0.5000, 0.5000)
Ag (0.5000, 0.5000, 0.5000)